Record 1
Density functional theory data (PBE) for a geometry-optimized TmInRh2 structure.

Values from the calculation:
Formation energy in eV per formula unit: -3.28
Space group: No. 123

Cell lengths 3.5079, 4.5038, 4.5038 Å; angles 90.00, 90.00, 90.00 degrees
Last column: nearest neighbours and their distance in Å.
Fractional positions:
Tm  0.5000  0.5000  0.5000  8 Rh 2.85, 4 In 3.18
Rh  0.0000  0.0000  0.5000  4 Tm 2.85, 4 In 2.85, 4 Rh 3.18
Rh  0.0000  0.5000  0.0000  4 In 2.85, 4 Tm 2.85, 4 Rh 3.18
In  0.5000  0.0000  0.0000  8 Rh 2.85, 4 Tm 3.18


Record 2
Density functional theory data (PBE) for a geometry-optimized Pm12Dy7Th structure.

Values from the calculation:
Formation energy in eV per formula unit: 5.64
Distance to the lowest polymorph of the same formula in meV/atom: 56
Space group: No. 148

Cell lengths 6.2149, 11.5663, 11.5663 Å; angles 116.86, 100.32, 100.32 degrees
Last column: nearest neighbours and their distance in Å.
Fractional positions:
Pm  0.0891  0.5875  0.1752  2 Dy 3.37-3.38, 5 Pm 3.40-3.66
Pm  0.0861  0.1752  0.5877  2 Dy 3.37-3.38, 5 Pm 3.40-3.66
Pm  0.6030  0.6458  0.0012  4 Dy 3.31-3.60, 3 Pm 3.37-3.66
Pm  0.3982  0.0012  0.3554  4 Dy 3.31-3.60, 3 Pm 3.37-3.66
Pm  0.4984  0.4123  0.5875  2 Dy 3.37-3.38, 5 Pm 3.40-3.66
Pm  0.0427  0.6446  0.6458  4 Dy 3.31-3.60, 3 Pm 3.37-3.66
Pm  0.9573  0.3554  0.3542  4 Dy 3.31-3.60, 3 Pm 3.37-3.66
Pm  0.5016  0.5877  0.4125  2 Dy 3.37-3.38, 5 Pm 3.40-3.66
Pm  0.6018  0.9988  0.6446  4 Dy 3.31-3.60, 3 Pm 3.37-3.66
Pm  0.3970  0.3542  0.9988  4 Dy 3.31-3.60, 3 Pm 3.37-3.66
Pm  0.9139  0.8248  0.4123  2 Dy 3.37-3.38, 5 Pm 3.40-3.66
Pm  0.9109  0.4125  0.8248  2 Dy 3.37-3.38, 5 Pm 3.40-3.66
Dy  0.1444  0.7532  0.0009  1 Th 3.15, 1 Dy 3.29, 4 Pm 3.31-3.38
Dy  0.8565  0.0009  0.2476  1 Th 3.15, 1 Dy 3.29, 4 Pm 3.31-3.38
Dy  0.6088  0.7524  0.7532  1 Th 3.15, 1 Dy 3.29, 4 Pm 3.31-3.38
Dy  0.5000  0.0000  0.0000  2 Th 3.11, 6 Dy 3.29
Dy  0.3912  0.2476  0.2468  1 Th 3.15, 1 Dy 3.29, 4 Pm 3.31-3.38
Dy  0.1435  0.9991  0.7524  1 Th 3.15, 1 Dy 3.29, 4 Pm 3.31-3.38
Dy  0.8556  0.2468  0.9991  1 Th 3.15, 1 Dy 3.29, 4 Pm 3.31-3.38
Th  0.0000  0.0000  0.0000  8 Dy 3.11-3.15


Record 3
Density functional theory data (PBE) for a geometry-optimized HoZnGe structure.

Values from the calculation:
Formation energy in eV per formula unit: -0.85
Space group: No. 107

Cell lengths 3.4289, 3.4289, 5.7652 Å; angles 107.30, 107.30, 90.00 degrees
Last column: nearest neighbours and their distance in Å.
Fractional positions:
Zn  0.3032  0.3032  0.6064  4 Ge 2.75
Ge  0.9273  0.9273  0.8547  4 Zn 2.75
Ho  0.6195  0.6195  0.2390  5 Zn 3.09-3.31, 5 Ge 3.15-3.22, 4 Ho 3.43


Record 4
Density functional theory data (PBE) for a geometry-optimized Cd3OsS structure.

Values from the calculation:
Distance to the lowest polymorph of the same formula in meV/atom: 201
Space group: No. 221

Cell lengths 4.9056, 4.9056, 4.9056 Å; angles 90.00, 90.00, 90.00 degrees
Last column: nearest neighbours and their distance in Å.
Fractional positions:
S  0.0000  0.0000  0.0000  6 Cd 2.45
Os  0.5000  0.5000  0.5000  12 Cd 3.47
Cd  0.0000  0.5000  0.0000  2 S 2.45
Cd  0.0000  0.0000  0.5000  2 S 2.45
Cd  0.5000  0.0000  0.0000  2 S 2.45